(1)
This record from Alexandria via LeMat-Bulk describes a geometry-optimized Cs2PrAs2Pd7 structure. The functional is PBE.

Its magnetization is 0.0 μB/f.u. The final energy is -4.710 eV/atom.

It has space group C2/m (No. 12), with a = 6.733 Å, b = 6.643 Å, c = 12.716 Å, α = 90.00°, β = 93.58° and γ = 90.00°. The distinct sites, in fractional coordinates, are Cs at (0.060, 0.000, 0.363), Pr at (0.000, 0.000, 0.000), As at (0.021, 0.500, 0.212), Pd at (0.000, 0.500, 0.000), Pd at (0.073, 0.500, 0.405) and Pd at (0.234, 0.247, 0.859).

---

(2)
This record from Alexandria via LeMat-Bulk describes a geometry-optimized Cs2As2Pd2Pt structure. The functional is PBE.

Its magnetization is 0.0 μB/f.u. The final energy is -4.334 eV/atom.

It has space group C2/m (No. 12), with a = 14.128 Å, b = 4.537 Å, c = 9.099 Å, α = 90.00°, β = 128.19° and γ = 90.00°. The distinct sites, in fractional coordinates, are Cs at (0.054, 0.000, 0.322), As at (0.210, 0.500, 0.139), Pd at (0.242, 0.500, 0.900) and Pt at (0.000, 0.500, 0.000).

---

(3)
This record from Alexandria via LeMat-Bulk describes a geometry-optimized CsRbAsPd structure. The functional is PBE.

Its magnetization is 0.0 μB/f.u. The final energy is -3.262 eV/atom.

It has space group Imm2 (No. 44), with a = 4.715 Å, b = 5.993 Å, c = 11.043 Å, α = 90.00°, β = 90.00° and γ = 90.00°. The distinct sites, in fractional coordinates, are Cs at (0.000, 0.000, 0.000), Rb at (0.000, 0.000, 0.341), As at (0.000, 0.000, 0.669) and Pd at (0.000, 0.500, 0.173).

---

(4)
This record from Alexandria via LeMat-Bulk describes a geometry-optimized Cs2ReAsPd structure. The functional is PBE.

Its magnetization is 3.7 μB/f.u. The final energy is -3.480 eV/atom.

It has space group P4/mmm (No. 123), with a = 6.563 Å, b = 6.563 Å, c = 4.936 Å, α = 90.00°, β = 90.00° and γ = 90.00°. The distinct sites, in fractional coordinates, are Cs at (0.000, 0.500, 0.000), Re at (0.000, 0.000, 0.500), As at (0.500, 0.500, 0.500) and Pd at (0.000, 0.000, 0.000).

---

(5)
This record from Alexandria via LeMat-Bulk describes a geometry-optimized CsAsPdRh structure. The functional is PBE.

Its magnetization is 0.0 μB/f.u. The final energy is -4.805 eV/atom.

It has space group P4/nmm (No. 129, origin choice 2), with a = 3.960 Å, b = 3.960 Å, c = 13.524 Å, α = 90.00°, β = 90.00° and γ = 90.00°. The distinct sites, in fractional coordinates, are Cs at (0.250, 0.250, 0.212), As at (0.250, 0.250, 0.605), Pd at (0.250, 0.750, 0.000) and Rh at (0.250, 0.750, 0.500).

---

(6)
This record from Alexandria via LeMat-Bulk describes a geometry-optimized CsSbAs2Pd4 structure. The functional is PBE.

Its magnetization is 0.0 μB/f.u. Its energy relative to the elements, uncorrected is -0.413 eV per atom.

It has space group P4/mmm (No. 123), with a = 4.193 Å, b = 4.193 Å, c = 10.844 Å, α = 90.00°, β = 90.00° and γ = 90.00°. The distinct sites, in fractional coordinates, are Cs at (0.000, 0.000, 0.000), Sb at (0.000, 0.000, 0.500), As at (0.500, 0.500, 0.214) and Pd at (0.000, 0.500, 0.340).

---

(7)
This record from Alexandria via LeMat-Bulk describes a geometry-optimized CsScAs2Pd structure. The functional is PBE.

Its magnetization is 0.0 μB/f.u. The final energy is -3.973 eV/atom.

It has space group P4/mmm (No. 123), with a = 5.071 Å, b = 5.071 Å, c = 6.386 Å, α = 90.00°, β = 90.00° and γ = 90.00°. The distinct sites, in fractional coordinates, are Cs at (0.000, 0.000, 0.000), Sc at (0.000, 0.000, 0.500), As at (0.000, 0.500, 0.500) and Pd at (0.500, 0.500, 0.000).

---

(8)
This record from Alexandria via LeMat-Bulk describes a geometry-optimized CsAsPdSe2 structure. The functional is PBE.

Its magnetization is 0.0 μB/f.u. Its energy relative to the elements, uncorrected is -0.094 eV per atom. The calculation puts the energy above the most stable polymorph in this dataset at 0.0000 eV/atom.

It has space group P4/mmm (No. 123), with a = 5.400 Å, b = 5.400 Å, c = 4.776 Å, α = 90.00°, β = 90.00° and γ = 90.00°. The distinct sites, in fractional coordinates, are Cs at (0.000, 0.000, 0.000), As at (0.500, 0.500, 0.000), Pd at (0.500, 0.500, 0.500) and Se at (0.000, 0.500, 0.500).

---

(9)
This record from Alexandria via LeMat-Bulk describes a geometry-optimized CsAsPdSe2 structure. The functional is PBE.

Its magnetization is 4.1 μB/f.u. Its energy relative to the elements, uncorrected is 1.622 eV per atom. The calculation puts the energy above the most stable polymorph in this dataset at 1.7157 eV/atom.

It has space group P4/mmm (No. 123), with a = 6.103 Å, b = 6.103 Å, c = 6.002 Å, α = 90.00°, β = 90.00° and γ = 90.00°. The distinct sites, in fractional coordinates, are Cs at (0.000, 0.000, 0.000), As at (0.000, 0.000, 0.500), Pd at (0.500, 0.500, 0.500) and Se at (0.000, 0.500, 0.000).

---

(10)
This record from Alexandria via LeMat-Bulk describes a geometry-optimized Cs2SmAs2Pd7 structure. The functional is PBE.

Its magnetization is 0.0 μB/f.u. The final energy is -4.723 eV/atom.

It has space group C2/m (No. 12), with a = 6.687 Å, b = 6.608 Å, c = 12.704 Å, α = 90.00°, β = 93.55° and γ = 90.00°. The distinct sites, in fractional coordinates, are Cs at (0.059, 0.000, 0.362), Sm at (0.000, 0.000, 0.000), As at (0.024, 0.500, 0.212), Pd at (0.000, 0.500, 0.000), Pd at (0.074, 0.500, 0.405) and Pd at (0.233, 0.249, 0.862).

---

(11)
This record from Alexandria via LeMat-Bulk describes a geometry-optimized CsSnAs2Pd4 structure. The functional is PBE.

Its magnetization is 0.0 μB/f.u. The final energy is -4.800 eV/atom.

It has space group P4/mmm (No. 123), with a = 4.081 Å, b = 4.081 Å, c = 11.295 Å, α = 90.00°, β = 90.00° and γ = 90.00°. The distinct sites, in fractional coordinates, are Cs at (0.000, 0.000, 0.000), Sn at (0.000, 0.000, 0.500), As at (0.500, 0.500, 0.209) and Pd at (0.000, 0.500, 0.336).

---

(12)
This record from Alexandria via LeMat-Bulk describes a geometry-optimized CsTeAs2Pd4 structure. The functional is PBE.

Its magnetization is 0.0 μB/f.u. Its energy relative to the elements, uncorrected is -0.367 eV per atom.

It has space group P4/mmm (No. 123), with a = 4.257 Å, b = 4.257 Å, c = 10.705 Å, α = 90.00°, β = 90.00° and γ = 90.00°. The distinct sites, in fractional coordinates, are Cs at (0.000, 0.000, 0.000), Te at (0.000, 0.000, 0.500), As at (0.500, 0.500, 0.215) and Pd at (0.000, 0.500, 0.336).

---

(13)
This record from Alexandria via LeMat-Bulk describes a geometry-optimized Cs4Tl2As2Pd structure. The functional is PBE.

Its magnetization is 0.0 μB/f.u. The final energy is -2.736 eV/atom.

It has space group C2/m (No. 12), with a = 17.343 Å, b = 10.023 Å, c = 5.654 Å, α = 90.00°, β = 104.48° and γ = 90.00°. The distinct sites, in fractional coordinates, are Cs at (0.113, 0.228, 0.397), Tl at (0.215, 0.500, 0.968), As at (0.131, 0.000, 0.915) and Pd at (0.000, 0.000, 0.000).

---

(14)
This record from Alexandria via LeMat-Bulk describes a geometry-optimized CsYAsPd2 structure. The functional is PBE.

Its magnetization is 0.0 μB/f.u. The final energy is -4.554 eV/atom.

It has space group P4/mmm (No. 123), with a = 5.013 Å, b = 5.013 Å, c = 5.364 Å, α = 90.00°, β = 90.00° and γ = 90.00°. The distinct sites, in fractional coordinates, are Cs at (0.000, 0.000, 0.000), Y at (0.500, 0.500, 0.000), As at (0.500, 0.500, 0.500) and Pd at (0.000, 0.500, 0.500).

---

(15)
This record from Alexandria via LeMat-Bulk describes a geometry-optimized CsPm2As structure. The functional is PBE.

Its magnetization is 0.0 μB/f.u. The final energy is -3.725 eV/atom.

It has space group P4/mmm (No. 123), with a = 5.159 Å, b = 5.159 Å, c = 4.406 Å, α = 90.00°, β = 90.00° and γ = 90.00°. The distinct sites, in fractional coordinates, are Cs at (0.000, 0.000, 0.000), Pm at (0.000, 0.500, 0.500) and As at (0.500, 0.500, 0.000).

---

(16)
This record from Alexandria via LeMat-Bulk describes a geometry-optimized CsPm2As2S6 structure. The functional is PBE.

Its magnetization is 0.0 μB/f.u. Its energy relative to the elements, uncorrected is -1.018 eV per atom.

It has space group P-1 (No. 2), with a = 7.616 Å, b = 7.873 Å, c = 8.093 Å, α = 89.21°, β = 63.14° and γ = 61.34°. The distinct sites, in fractional coordinates, are Cs at (0.000, 0.000, 0.000), Pm at (0.370, 0.309, 0.965), As at (0.001, 0.654, 0.441), S at (0.091, 0.367, 0.795), S at (0.270, 0.083, 0.220) and S at (0.404, 0.489, 0.244).

---

(17)
This record from Alexandria via LeMat-Bulk describes a geometry-optimized Cs2PrAsS4 structure. The functional is PBE.

Its magnetization is 0.0 μB/f.u. Its energy relative to the elements, uncorrected is -0.991 eV per atom.

It has space group Fddd (No. 70, origin choice 2), with a = 6.880 Å, b = 14.904 Å, c = 25.870 Å, α = 90.00°, β = 90.00° and γ = 90.00°. The distinct sites, in fractional coordinates, are Cs at (0.125, 0.125, 0.308), Pr at (0.125, 0.125, 0.125), As at (0.125, 0.125, 0.625) and S at (0.103, 0.278, 0.825).

---

(18)
This record from Alexandria via LeMat-Bulk describes a geometry-optimized Cs3As2Pt4 structure. The functional is PBE.

Its magnetization is 0.0 μB/f.u. The final energy is -4.253 eV/atom.

It has space group C2/m (No. 12), with a = 14.147 Å, b = 4.098 Å, c = 9.622 Å, α = 90.00°, β = 94.31° and γ = 90.00°. The distinct sites, in fractional coordinates, are Cs at (0.000, 0.000, 0.000), Cs at (0.162, 0.500, 0.326), As at (0.117, 0.500, 0.718), Pt at (0.059, 0.000, 0.617) and Pt at (0.214, 0.500, 0.928).

---

(19)
This record from Alexandria via LeMat-Bulk describes a geometry-optimized Cs2AsPt2 structure. The functional is PBE.

Its magnetization is 0.0 μB/f.u. The calculation puts the energy above the most stable polymorph in this dataset at 0.0000 eV/atom.

It has space group C2/c (No. 15), with a = 10.670 Å, b = 7.225 Å, c = 8.155 Å, α = 90.00°, β = 98.65° and γ = 90.00°. The distinct sites, in fractional coordinates, are Cs at (0.151, 0.102, 0.145), As at (0.000, 0.445, 0.750) and Pt at (0.105, 0.383, 0.500).

---

(20)
This record from Alexandria via LeMat-Bulk describes a geometry-optimized Cs2AsPt2 structure. The functional is PBE.

Its magnetization is 0.0 μB/f.u. The calculation puts the energy above the most stable polymorph in this dataset at 0.1944 eV/atom.

It has space group P4/mbm (No. 127), with a = 6.810 Å, b = 6.810 Å, c = 5.947 Å, α = 90.00°, β = 90.00° and γ = 90.00°. The distinct sites, in fractional coordinates, are Cs at (0.181, 0.319, 0.000), As at (0.000, 0.000, 0.500) and Pt at (0.140, 0.640, 0.500).

---

(21)
This record from Alexandria via LeMat-Bulk describes a geometry-optimized CsAsPt3 structure. The functional is PBE.

Its magnetization is 0.0 μB/f.u. The calculation puts the energy above the most stable polymorph in this dataset at 1.9230 eV/atom.

It has space group Pm-3m (No. 221), with a = 5.187 Å, b = 5.187 Å, c = 5.187 Å, α = 90.00°, β = 90.00° and γ = 90.00°. The distinct sites, in fractional coordinates, are Cs at (0.000, 0.000, 0.000), As at (0.500, 0.500, 0.500) and Pt at (0.000, 0.000, 0.500).

---

(22)
This record from Alexandria via LeMat-Bulk describes a geometry-optimized CsAsPt3 structure. The functional is PBE.

Its magnetization is 0.0 μB/f.u. The calculation puts the energy above the most stable polymorph in this dataset at 0.0000 eV/atom.

It has space group Pm-3m (No. 221), with a = 4.918 Å, b = 4.918 Å, c = 4.918 Å, α = 90.00°, β = 90.00° and γ = 90.00°. The distinct sites, in fractional coordinates, are Cs at (0.000, 0.000, 0.000), As at (0.500, 0.500, 0.500) and Pt at (0.000, 0.500, 0.500).

---

(23)
This record from Alexandria via LeMat-Bulk describes a geometry-optimized Cs2As2Pt3 structure. The functional is PBE.

Its magnetization is 0.0 μB/f.u. The calculation puts the energy above the most stable polymorph in this dataset at 0.0348 eV/atom.

It has space group C2/m (No. 12), with a = 13.500 Å, b = 4.064 Å, c = 8.687 Å, α = 90.00°, β = 125.41° and γ = 90.00°. The distinct sites, in fractional coordinates, are Cs at (0.110, 0.000, 0.264), As at (0.154, 0.000, 0.715), Pt at (0.000, 0.500, 0.500) and Pt at (0.175, 0.500, 0.885).

---

(24)
This record from Alexandria via LeMat-Bulk describes a geometry-optimized Cs2AsPt2 structure. The functional is PBE.

Its magnetization is 0.0 μB/f.u. The calculation puts the energy above the most stable polymorph in this dataset at 0.0550 eV/atom.

It has space group Cmc2_1 (No. 36), with a = 4.678 Å, b = 21.928 Å, c = 7.303 Å, α = 90.00°, β = 90.00° and γ = 90.00°. The distinct sites, in fractional coordinates, are Cs at (0.000, 0.023, 0.000), Cs at (0.000, 0.198, 0.830), As at (0.000, 0.368, 0.879), Pt at (0.000, 0.141, 0.349) and Pt at (0.000, 0.415, 0.167).

---

(25)
This record from Alexandria via LeMat-Bulk describes a geometry-optimized Cs2As2Pt3 structure. The functional is PBE.

Its magnetization is 0.0 μB/f.u. The calculation puts the energy above the most stable polymorph in this dataset at 0.0000 eV/atom.

It has space group C2/m (No. 12), with a = 14.434 Å, b = 4.446 Å, c = 9.098 Å, α = 90.00°, β = 128.75° and γ = 90.00°. The distinct sites, in fractional coordinates, are Cs at (0.050, 0.000, 0.324), As at (0.206, 0.500, 0.136), Pt at (0.000, 0.500, 0.000) and Pt at (0.239, 0.500, 0.895).